DFT (GGA-PBE) results for an optimized crystal structure of Tb2Sm3Er6.

E_form	0.2765	eV per atom
DOS(E_F)	17.2	states/eV/f.u.
SG	I4/mmm, No. 139

a = 4.7199 Å, b = 4.7199 Å, c = 16.8902 Å
α = 98.03°, β = 98.03°, γ = 90.00°
Last column: nearest neighbours and their distance in Å.
Atoms (fractional coordinates):
Tb1 0.4538 0.4538 0.9077  1 Tb 3.06, 4 Er 3.42
Tb2 0.5462 0.5462 0.0923  1 Tb 3.06, 4 Er 3.42
Sm1 0.0000 0.0000 0.0000  8 Tb 3.67
Sm2 0.7974 0.7974 0.5948  9 Er 3.35-3.59
Sm3 0.2026 0.2026 0.4052  9 Er 3.35-3.59
Er1 0.1211 0.6211 0.2421  6 Er 3.34-3.37, 2 Tb 3.42, 2 Sm 3.59
Er2 0.6211 0.1211 0.2421  6 Er 3.34-3.37, 2 Tb 3.42, 2 Sm 3.59
Er3 0.8789 0.3789 0.7579  6 Er 3.34-3.37, 2 Tb 3.42, 2 Sm 3.59
Er4 0.3789 0.8789 0.7579  6 Er 3.34-3.37, 2 Tb 3.42, 2 Sm 3.59
Er5 0.6937 0.6937 0.3874  5 Sm 3.35-3.43, 4 Er 3.37
Er6 0.3063 0.3063 0.6126  5 Sm 3.35-3.43, 4 Er 3.37